A relaxed structure of In2GaTe6Au. Source: Alexandria via LeMat-Bulk, functional PBE-GGA.

```
data_In2GaTe6Au
_cell_length_a 14.0248
_cell_length_b 16.7048
_cell_length_c 7.5330
_cell_angle_alpha 90.00
_cell_angle_beta 116.53
_cell_angle_gamma 90.00
_space_group_name_H-M_alt 'C 1 2/c 1'
_space_group_IT_number 15
loop_
_space_group_symop_operation_xyz
'x,y,z'
'-x,-y,-z'
'-x,y,-z+1/2'
'x,-y,z+1/2'
'x+1/2,y+1/2,z'
'-x+1/2,-y+1/2,-z'
'-x+1/2,y+1/2,-z+1/2'
'x+1/2,-y+1/2,z+1/2'
loop_
_atom_site_label
_atom_site_type_symbol
_atom_site_fract_x
_atom_site_fract_y
_atom_site_fract_z
In1 In 0.1714 0.1089 0.2027
Ga1 Ga 0.0000 0.3227 0.2500
Te1 Te 0.0880 0.2587 0.0472
Te2 Te 0.1070 0.0498 0.7871
Te3 Te 0.1125 0.4330 0.5445
Au1 Au 0.0000 0.4122 0.7500
```

Summary:
The calculation puts the energy relative to the elements, uncorrected at -0.12 eV per atom. The calculation puts the uncorrected energy at -3.182 eV per atom.